No. 1
{"formula": "SmAs2Ru", "functional": "GGA-PBE", "state": "relaxed", "vol_a3_per_atom": 19.647, "n_ef_per_ev_cell": 3.708, "space_group": "No. 166", "formation_enthalpy_0k_kj_per_mol_atoms": -72, "cell": [[2.0651, 1.1923, 5.3197], [-2.0651, 1.1923, 5.3197], [0.0000, -2.3846, 5.3197]], "species": ["Sm", "As", "As", "Ru"], "fractional_positions": [[0.0000, 0.0000, 0.0000], [0.2257, 0.2257, 0.2257], [0.7743, 0.7743, 0.7743], [0.5000, 0.5000, 0.5000]]}


No. 2
{"formula": "Sm2AsRu", "functional": "GGA-PBE", "state": "relaxed", "vol_a3_per_atom": 28.971, "n_ef_per_ev_cell": 2.957, "space_group": "No. 166", "formation_enthalpy_0k_kj_per_mol_atoms": 4, "cell": [[1.9654, 1.1347, 8.6600], [-1.9654, 1.1347, 8.6600], [0.0000, -2.2695, 8.6600]], "species": ["Sm", "Sm", "As", "Ru"], "fractional_positions": [[0.0981, 0.0981, 0.0981], [0.9019, 0.9019, 0.9019], [0.5000, 0.5000, 0.5000], [0.0000, 0.0000, 0.0000]]}


No. 3
{"formula": "Sm2As7Ru12", "functional": "GGA-PBE", "state": "relaxed", "vol_a3_per_atom": 15.940, "n_ef_per_ev_cell": 13.018, "space_group": "No. 174", "formation_enthalpy_0k_kj_per_mol_atoms": -41, "cell": [[9.7840, 0.0000, 0.0000], [-4.8920, 8.4732, 0.0000], [0.0000, 0.0000, 4.0378]], "species": ["Sm", "Sm", "As", "As", "As", "As", "As", "As", "As", "Ru", "Ru", "Ru", "Ru", "Ru", "Ru", "Ru", "Ru", "Ru", "Ru", "Ru", "Ru"], "fractional_positions": [[0.0000, 0.0000, 0.0000], [0.3333, 0.6667, 0.5000], [0.0676, 0.4473, 0.0000], [0.2485, 0.2173, 0.5000], [0.3797, 0.9324, 0.0000], [0.5527, 0.6203, 0.0000], [0.6667, 0.3333, 0.5000], [0.7827, 0.0313, 0.5000], [0.9687, 0.7515, 0.5000], [0.0318, 0.2730, 0.5000], [0.1044, 0.7200, 0.0000], [0.2412, 0.9682, 0.5000], [0.2800, 0.3843, 0.0000], [0.4568, 0.2167, 0.0000], [0.5079, 0.4488, 0.5000], [0.5512, 0.0591, 0.5000], [0.6157, 0.8956, 0.0000], [0.7270, 0.7588, 0.5000], [0.7599, 0.5432, 0.0000], [0.7833, 0.2401, 0.0000], [0.9409, 0.4921, 0.5000]]}


No. 4
{"formula": "SmAs4Ru4", "functional": "GGA-PBE", "state": "relaxed", "vol_a3_per_atom": 17.318, "n_ef_per_ev_cell": 11.307, "space_group": "No. 137", "formation_enthalpy_0k_kj_per_mol_atoms": -34, "cell": [[6.2227, 0.0000, 0.0000], [0.0000, 6.2227, 0.0000], [0.0000, 0.0000, 8.0505]], "species": ["Sm", "Sm", "As", "As", "As", "As", "As", "As", "As", "As", "Ru", "Ru", "Ru", "Ru", "Ru", "Ru", "Ru", "Ru"], "fractional_positions": [[0.2500, 0.7500, 0.2500], [0.7500, 0.2500, 0.7500], [0.0262, 0.2500, 0.0605], [0.2500, 0.0262, 0.5605], [0.2500, 0.4738, 0.5605], [0.4738, 0.2500, 0.0605], [0.5262, 0.7500, 0.9395], [0.7500, 0.5262, 0.4395], [0.7500, 0.9738, 0.4395], [0.9738, 0.7500, 0.9395], [0.0279, 0.2500, 0.3605], [0.2500, 0.0279, 0.8605], [0.2500, 0.4721, 0.8605], [0.4721, 0.2500, 0.3605], [0.5279, 0.7500, 0.6395], [0.7500, 0.5279, 0.1395], [0.7500, 0.9721, 0.1395], [0.9721, 0.7500, 0.6395]]}


No. 5
{"formula": "SnAs3Ru", "functional": "GGA-PBE", "state": "relaxed", "vol_a3_per_atom": 22.767, "e_above_lowest_polymorph_mev_per_atom": 0.0, "n_ef_per_ev_cell": 5.779, "space_group": "No. 221", "formation_enthalpy_0k_kj_per_mol_atoms": 40, "cell": [[4.8465, 0.0000, 0.0000], [0.0000, 4.8465, 0.0000], [0.0000, 0.0000, 4.8465]], "species": ["Sn", "As", "As", "As", "Ru"], "fractional_positions": [[0.0000, 0.0000, 0.0000], [0.0000, 0.5000, 0.5000], [0.5000, 0.0000, 0.5000], [0.5000, 0.5000, 0.0000], [0.5000, 0.5000, 0.5000]]}


No. 6
{"formula": "SnAsRu2", "functional": "GGA-PBE", "state": "relaxed", "vol_a3_per_atom": 23.135, "e_above_lowest_polymorph_mev_per_atom": 493.6, "n_ef_per_ev_cell": 7.339, "space_group": "No. 122", "formation_enthalpy_0k_kj_per_mol_atoms": 44, "cell": [[-2.9286, 2.9286, 5.3949], [2.9286, -2.9286, 5.3949], [2.9286, 2.9286, -5.3949]], "species": ["Sn", "Sn", "As", "As", "Ru", "Ru", "Ru", "Ru"], "fractional_positions": [[0.0000, 0.0000, 0.0000], [0.7500, 0.2500, 0.5000], [0.2500, 0.7500, 0.5000], [0.5000, 0.5000, 0.0000], [0.1618, 0.6250, 0.0368], [0.3750, 0.4118, 0.5368], [0.5882, 0.1250, 0.9632], [0.8750, 0.8382, 0.4632]]}


No. 7
{"formula": "Sn2As2Ru", "functional": "GGA-PBE", "state": "relaxed", "vol_a3_per_atom": 21.636, "n_ef_per_ev_cell": 6.611, "space_group": "No. 127", "formation_enthalpy_0k_kj_per_mol_atoms": 4, "cell": [[6.3397, 0.0000, 0.0000], [0.0000, 6.3397, 0.0000], [0.0000, 0.0000, 5.3832]], "species": ["Sn", "Sn", "Sn", "Sn", "As", "As", "As", "As", "Ru", "Ru"], "fractional_positions": [[0.1833, 0.3167, 0.0000], [0.3167, 0.8167, 0.0000], [0.6833, 0.1833, 0.0000], [0.8167, 0.6833, 0.0000], [0.1390, 0.6390, 0.5000], [0.3610, 0.1390, 0.5000], [0.6390, 0.8610, 0.5000], [0.8610, 0.3610, 0.5000], [0.0000, 0.0000, 0.5000], [0.5000, 0.5000, 0.5000]]}


No. 8
{"formula": "SnAs2Ru2", "functional": "GGA-PBE", "state": "relaxed", "vol_a3_per_atom": 18.154, "n_ef_per_ev_cell": 4.829, "space_group": "No. 139", "formation_enthalpy_0k_kj_per_mol_atoms": 8, "cell": [[-1.9407, 1.9407, 6.0252], [1.9407, -1.9407, 6.0252], [1.9407, 1.9407, -6.0252]], "species": ["Sn", "As", "As", "Ru", "Ru"], "fractional_positions": [[0.0000, 0.0000, 0.0000], [0.2500, 0.7500, 0.5000], [0.7500, 0.2500, 0.5000], [0.3791, 0.3791, 0.0000], [0.6209, 0.6209, 0.0000]]}


No. 9
{"formula": "SnAsRu2", "functional": "GGA-PBE", "state": "relaxed", "vol_a3_per_atom": 15.784, "e_above_lowest_polymorph_mev_per_atom": 0.0, "n_ef_per_ev_cell": 2.157, "space_group": "No. 123", "formation_enthalpy_0k_kj_per_mol_atoms": -4, "cell": [[3.0782, 0.0000, 0.0000], [0.0000, 3.0782, 0.0000], [0.0000, 0.0000, 6.6630]], "species": ["Sn", "As", "Ru", "Ru"], "fractional_positions": [[0.0000, 0.0000, 0.0000], [0.0000, 0.0000, 0.5000], [0.5000, 0.5000, 0.2778], [0.5000, 0.5000, 0.7222]]}


No. 10
{"formula": "SnAsRu2", "functional": "GGA-PBE", "state": "relaxed", "vol_a3_per_atom": 17.521, "e_above_lowest_polymorph_mev_per_atom": 34.8, "n_ef_per_ev_cell": 3.168, "space_group": "No. 160", "formation_enthalpy_0k_kj_per_mol_atoms": -1, "cell": [[1.9550, 1.1287, 5.2936], [-1.9550, 1.1287, 5.2936], [0.0000, -2.2574, 5.2936]], "species": ["Sn", "As", "Ru", "Ru"], "fractional_positions": [[0.0000, 0.0000, 0.0000], [0.1757, 0.1757, 0.1757], [0.5683, 0.5683, 0.5683], [0.7694, 0.7694, 0.7694]]}


No. 11
{"formula": "SnAsRu2", "functional": "GGA-PBE", "state": "relaxed", "vol_a3_per_atom": 16.011, "e_above_lowest_polymorph_mev_per_atom": 93.2, "n_ef_per_ev_cell": 3.337, "space_group": "No. 225", "formation_enthalpy_0k_kj_per_mol_atoms": 5, "cell": [[0.0000, 3.1755, 3.1755], [3.1755, 0.0000, 3.1755], [3.1755, 3.1755, 0.0000]], "species": ["Sn", "As", "Ru", "Ru"], "fractional_positions": [[0.0000, 0.0000, 0.0000], [0.5000, 0.5000, 0.5000], [0.2500, 0.2500, 0.2500], [0.7500, 0.7500, 0.7500]]}


No. 12
{"formula": "SrAs4Ru", "functional": "GGA-PBE", "state": "relaxed", "vol_a3_per_atom": 21.191, "n_ef_per_ev_cell": 2.679, "space_group": "No. 216", "formation_enthalpy_0k_kj_per_mol_atoms": 27, "cell": [[0.0000, 3.9911, 3.9911], [3.9911, 0.0000, 3.9911], [3.9911, 3.9911, 0.0000]], "species": ["Sr", "As", "As", "As", "As", "Ru"], "fractional_positions": [[0.0000, 0.0000, 0.0000], [0.1319, 0.6227, 0.6227], [0.6227, 0.1319, 0.6227], [0.6227, 0.6227, 0.1319], [0.6227, 0.6227, 0.6227], [0.2500, 0.2500, 0.2500]]}


No. 13
{"formula": "SrAsRu3", "functional": "GGA-PBE", "state": "relaxed", "vol_a3_per_atom": 20.125, "e_above_lowest_polymorph_mev_per_atom": 0.0, "n_ef_per_ev_cell": 7.722, "space_group": "No. 221", "formation_enthalpy_0k_kj_per_mol_atoms": 42, "cell": [[4.6513, 0.0000, 0.0000], [0.0000, 4.6513, 0.0000], [0.0000, 0.0000, 4.6513]], "species": ["Sr", "As", "Ru", "Ru", "Ru"], "fractional_positions": [[0.0000, 0.0000, 0.0000], [0.5000, 0.5000, 0.5000], [0.0000, 0.5000, 0.5000], [0.5000, 0.0000, 0.5000], [0.5000, 0.5000, 0.0000]]}


No. 14
{"formula": "SrAs2Ru", "functional": "GGA-PBE", "state": "relaxed", "vol_a3_per_atom": 21.153, "e_above_lowest_polymorph_mev_per_atom": 111.0, "n_ef_per_ev_cell": 1.927, "space_group": "No. 166", "formation_enthalpy_0k_kj_per_mol_atoms": -55, "cell": [[2.1237, 1.2261, 5.4137], [-2.1237, 1.2261, 5.4137], [0.0000, -2.4523, 5.4137]], "species": ["Sr", "As", "As", "Ru"], "fractional_positions": [[0.0000, 0.0000, 0.0000], [0.2141, 0.2141, 0.2141], [0.7859, 0.7859, 0.7859], [0.5000, 0.5000, 0.5000]]}


No. 15
{"formula": "Sr2AsRu", "functional": "GGA-PBE", "state": "relaxed", "vol_a3_per_atom": 25.181, "n_ef_per_ev_cell": 2.784, "space_group": "No. 139", "formation_enthalpy_0k_kj_per_mol_atoms": 1, "cell": [[-2.4526, 2.4526, 4.1861], [2.4526, -2.4526, 4.1861], [2.4526, 2.4526, -4.1861]], "species": ["Sr", "Sr", "As", "Ru"], "fractional_positions": [[0.2500, 0.7500, 0.5000], [0.7500, 0.2500, 0.5000], [0.0000, 0.0000, 0.0000], [0.5000, 0.5000, 0.0000]]}


No. 16
{"formula": "SrAs2Ru", "functional": "GGA-PBE", "state": "relaxed", "vol_a3_per_atom": 20.318, "e_above_lowest_polymorph_mev_per_atom": 778.7, "n_ef_per_ev_cell": 3.483, "space_group": "No. 65", "formation_enthalpy_0k_kj_per_mol_atoms": 9, "cell": [[2.9687, -3.7243, 0.0000], [2.9687, 3.7243, 0.0000], [0.0000, 0.0000, 3.6755]], "species": ["Sr", "As", "As", "Ru"], "fractional_positions": [[0.0000, 0.0000, 0.0000], [0.0000, 0.5000, 0.5000], [0.5000, 0.0000, 0.5000], [0.5000, 0.5000, 0.0000]]}


No. 17
{"formula": "Sr3AsRu", "functional": "GGA-PBE", "state": "relaxed", "vol_a3_per_atom": 32.857, "e_above_lowest_polymorph_mev_per_atom": 0.0, "n_ef_per_ev_cell": 2.375, "space_group": "No. 221", "formation_enthalpy_0k_kj_per_mol_atoms": 7, "cell": [[5.4769, 0.0000, 0.0000], [0.0000, 5.4769, 0.0000], [0.0000, 0.0000, 5.4769]], "species": ["Sr", "Sr", "Sr", "As", "Ru"], "fractional_positions": [[0.0000, 0.0000, 0.5000], [0.0000, 0.5000, 0.0000], [0.5000, 0.0000, 0.0000], [0.5000, 0.5000, 0.5000], [0.0000, 0.0000, 0.0000]]}


No. 18
{"formula": "SrAs2Ru", "functional": "GGA-PBE", "state": "relaxed", "vol_a3_per_atom": 26.219, "e_above_lowest_polymorph_mev_per_atom": 277.0, "n_ef_per_ev_cell": 3.141, "space_group": "No. 38", "formation_enthalpy_0k_kj_per_mol_atoms": -39, "cell": [[4.3717, 0.0000, 0.0000], [0.0000, 2.0028, 5.9888], [0.0000, -2.0028, 5.9888]], "species": ["Sr", "As", "As", "Ru"], "fractional_positions": [[0.0000, 0.0000, 0.0000], [0.0000, 0.2953, 0.2953], [0.5000, 0.6102, 0.6102], [0.5000, 0.2203, 0.2203]]}


No. 19
{"formula": "Sr2As2Ru", "functional": "GGA-PBE", "state": "relaxed", "vol_a3_per_atom": 22.703, "n_ef_per_ev_cell": 3.615, "space_group": "No. 127", "formation_enthalpy_0k_kj_per_mol_atoms": -56, "cell": [[6.8432, 0.0000, 0.0000], [0.0000, 6.8432, 0.0000], [0.0000, 0.0000, 4.8480]], "species": ["Sr", "Sr", "Sr", "Sr", "As", "As", "As", "As", "Ru", "Ru"], "fractional_positions": [[0.1734, 0.3266, 0.0000], [0.3266, 0.8266, 0.0000], [0.6734, 0.1734, 0.0000], [0.8266, 0.6734, 0.0000], [0.1402, 0.6402, 0.5000], [0.3598, 0.1402, 0.5000], [0.6402, 0.8598, 0.5000], [0.8598, 0.3598, 0.5000], [0.0000, 0.0000, 0.5000], [0.5000, 0.5000, 0.5000]]}


No. 20
{"formula": "SrAsRu", "functional": "GGA-PBE", "state": "relaxed", "vol_a3_per_atom": 22.863, "n_ef_per_ev_cell": 2.941, "space_group": "No. 216", "formation_enthalpy_0k_kj_per_mol_atoms": 10, "cell": [[0.0000, 3.2489, 3.2489], [3.2489, 0.0000, 3.2489], [3.2489, 3.2489, 0.0000]], "species": ["Sr", "As", "Ru"], "fractional_positions": [[0.0000, 0.0000, 0.0000], [0.5000, 0.5000, 0.5000], [0.7500, 0.7500, 0.7500]]}